{"formula": "CaTi2Hg2", "functional": "PBE-GGA", "state": "optimized geometry", "cell": [[8.391, 0.000, 0.000], [0.000, 8.391, 0.000], [0.000, 0.000, 3.172]], "species": ["Ca", "Ca", "Ti", "Ti", "Ti", "Ti", "Hg", "Hg", "Hg", "Hg"], "fractional_positions": [[0.000, 0.000, 0.000], [0.500, 0.500, 0.000], [0.116, 0.384, 0.500], [0.384, 0.884, 0.500], [0.616, 0.116, 0.500], [0.884, 0.616, 0.500], [0.177, 0.677, 0.000], [0.323, 0.177, 0.000], [0.677, 0.823, 0.000], [0.823, 0.323, 0.000]], "space_group": "P4/mbm, No. 127", "de_polymorph_mev_per_atom": 70.5, "n_ef_per_ev_atom": 1.097, "formation_enthalpy_0k_ev_per_atom": 0.05, "vol_a3_per_atom": 22.33, "rho_g_cm3": 7.99}

{"formula": "CaTiHg3", "functional": "PBE-GGA", "state": "optimized geometry", "cell": [[5.299, 0.000, 0.000], [0.000, 5.299, 0.000], [0.000, 0.000, 5.299]], "species": ["Ca", "Ti", "Hg", "Hg", "Hg"], "fractional_positions": [[0.000, 0.000, 0.000], [0.500, 0.500, 0.500], [0.000, 0.500, 0.500], [0.500, 0.000, 0.500], [0.500, 0.500, 0.000]], "space_group": "Pm-3m, No. 221", "n_ef_per_ev_atom": 0.895, "formation_enthalpy_0k_ev_per_atom": 0.13, "vol_a3_per_atom": 29.76, "rho_g_cm3": 7.70}

{"formula": "CaTiHg", "functional": "PBE-GGA", "state": "optimized geometry", "cell": [[-1.853, 1.853, 10.920], [1.853, -1.853, 10.920], [1.853, 1.853, -10.920]], "species": ["Ca", "Ca", "Ti", "Ti", "Hg", "Hg"], "fractional_positions": [[0.000, 0.000, 0.000], [0.177, 0.177, 0.000], [0.363, 0.863, 0.500], [0.863, 0.363, 0.500], [0.591, 0.591, 0.000], [0.758, 0.758, 0.000]], "space_group": "I4mm, No. 107", "de_polymorph_mev_per_atom": 0.0, "n_ef_per_ev_atom": 0.933, "formation_enthalpy_0k_ev_per_atom": -0.02, "vol_a3_per_atom": 24.99, "rho_g_cm3": 6.39}

{"formula": "Ca2TiHg2", "functional": "PBE-GGA", "state": "optimized geometry", "cell": [[7.604, 0.000, 0.000], [0.000, 7.604, 0.000], [0.000, 0.000, 4.688]], "species": ["Ca", "Ca", "Ca", "Ca", "Ti", "Ti", "Hg", "Hg", "Hg", "Hg"], "fractional_positions": [[0.170, 0.330, 0.000], [0.330, 0.830, 0.000], [0.670, 0.170, 0.000], [0.830, 0.670, 0.000], [0.000, 0.000, 0.500], [0.500, 0.500, 0.500], [0.141, 0.641, 0.500], [0.359, 0.141, 0.500], [0.641, 0.859, 0.500], [0.859, 0.359, 0.500]], "space_group": "P4/mbm, No. 127", "n_ef_per_ev_atom": 0.884, "formation_enthalpy_0k_ev_per_atom": -0.12, "vol_a3_per_atom": 27.11, "rho_g_cm3": 6.48}

{"formula": "CaTi2Hg2", "functional": "PBE-GGA", "state": "optimized geometry", "cell": [[8.306, 0.000, 0.000], [0.000, 8.306, 0.000], [0.000, 0.000, 3.140]], "species": ["Ca", "Ca", "Ti", "Ti", "Ti", "Ti", "Hg", "Hg", "Hg", "Hg"], "fractional_positions": [[0.000, 0.000, 0.000], [0.500, 0.500, 0.000], [0.109, 0.391, 0.000], [0.391, 0.891, 0.000], [0.609, 0.109, 0.000], [0.891, 0.609, 0.000], [0.185, 0.685, 0.500], [0.315, 0.185, 0.500], [0.685, 0.815, 0.500], [0.815, 0.315, 0.500]], "space_group": "P4/mbm, No. 127", "de_polymorph_mev_per_atom": 0.0, "n_ef_per_ev_atom": 0.544, "formation_enthalpy_0k_ev_per_atom": -0.02, "vol_a3_per_atom": 21.66, "rho_g_cm3": 8.23}

{"formula": "CaTiHg6", "functional": "PBE-GGA", "state": "optimized geometry", "cell": [[2.953, 1.705, 8.232], [-2.953, 1.705, 8.232], [0.000, -3.410, 8.232]], "species": ["Ca", "Ti", "Hg", "Hg", "Hg", "Hg", "Hg", "Hg"], "fractional_positions": [[0.000, 0.000, 0.000], [0.500, 0.500, 0.500], [0.062, 0.062, 0.557], [0.062, 0.557, 0.062], [0.443, 0.938, 0.938], [0.557, 0.062, 0.062], [0.938, 0.443, 0.938], [0.938, 0.938, 0.443]], "space_group": "R-3m, No. 166", "n_ef_per_ev_atom": 0.946, "formation_enthalpy_0k_ev_per_atom": 0.18, "vol_a3_per_atom": 31.09, "rho_g_cm3": 8.62}

Number 1: E_tot -3.63 eV/atom. Number 2: E_tot -2.03 eV/atom. Number 3: E_tot -3.42 eV/atom. Number 4: E_tot -2.62 eV/atom. Number 5: E_tot -3.70 eV/atom. Number 6: E_tot -1.28 eV/atom.